A geometry-optimized Ho4CoBr5 structure, computed with PBE.

a = 18.621 Å, b = 3.871 Å, c = 8.380 Å
α = 90.00°, β = 102.63°, γ = 90.00°
Space group C2/m (No. 12)
Asymmetric unit:
Ho 0.001 0.000 0.207
Ho 0.144 0.500 0.076
Co 0.000 0.500 0.000
Br 0.000 0.500 0.500
Br 0.168 0.000 0.336
Br 0.178 0.000 0.840

Computed properties:
The total magnetization is 0.001 μB per atom. Its crystal system is monoclinic. For the total energy, the calculation gives -4.71 eV per atom.